Entry 1:
VASP calculation (PBE) on an optimized crystal structure of V2MoPt3.

```
6
Lattice="2.3282 -7.2058 0.0000 2.3282 7.2058 0.0000 0.0000 0.0000 2.7091" Properties=species:S:1:pos:R:3 pbc="T T T"
V 2.3282 4.9993 0.0000
V 2.3282 -4.9993 0.0000
Mo 2.3282 0.0000 0.0000
Pt 0.0000 0.0000 1.3545
Pt 2.3282 2.6995 1.3545
Pt 2.3282 -2.6995 1.3545
```

***

Entry 2:
VASP calculation (PBE) on an optimized crystal structure of V2MoPt8.

```
11
Lattice="7.0787 -1.9632 0.0000 7.0787 1.9632 0.0000 -1.8390 0.0000 6.0050" Properties=species:S:1:pos:R:3 pbc="T T T"
V 2.8466 0.0000 0.8672
V 9.4717 0.0000 5.1378
Mo 6.1592 0.0000 3.0025
Pt 0.2122 0.0000 1.3948
Pt 0.7158 0.0000 4.1769
Pt 3.4262 0.0000 3.5300
Pt 5.5359 0.0000 0.2963
Pt 6.7825 0.0000 5.7087
Pt 8.8922 0.0000 2.4750
Pt 11.6026 0.0000 1.8280
Pt 12.1061 0.0000 4.6101
```

***

no.,D(E_F) (states/eV per atom),total DFT energy (no corrections) (eV per atom),formation energy from the elements (eV per atom)
1,1.06,-8.15,-0.284
2,0.91,-7.44,-0.408